(1)
# HfS2N2 (PBE, relaxed)
# Symmetry: No. 139
# Formation energy (no corrections) in kJ/mol of formula units: -107
# DOS(E_F) in states/eV per cell: 1.8
# Relative energy among the computed polymorphs in eV per atom: 0.000
# Uncorrected energy in eV/f.u.: -35.97
data_HfS2N2
_chemical_formula_sum 'Hf1 S2 N2'
_symmetry_space_group_name_H-M 'P 1'
_symmetry_Int_Tables_number 1
_symmetry_space_group_name_Hall 'P 1'
_cell_length_a 4.563
_cell_length_b 4.563
_cell_length_c 4.563
_cell_angle_alpha 111.35
_cell_angle_beta 111.35
_cell_angle_gamma 105.77
loop_
_atom_site_label
_atom_site_type_symbol
_atom_site_fract_x
_atom_site_fract_y
_atom_site_fract_z
Hf1 Hf 0.000 0.000 0.000
S1 S 0.250 0.750 0.500
S2 S 0.750 0.250 0.500
N1 N 0.396 0.396 0.000
N2 N 0.604 0.604 0.000

---

(2)
# HfS2N2 (PBE, relaxed)
# Symmetry: No. 123
# Formation energy (no corrections) in kJ/mol of formula units: 385
# DOS(E_F) in states/eV per cell: 2.1
# Relative energy among the computed polymorphs in eV per atom: 1.020
# Uncorrected energy in eV/f.u.: -30.87
data_HfS2N2
_chemical_formula_sum 'Hf1 S2 N2'
_symmetry_space_group_name_H-M 'P 1'
_symmetry_Int_Tables_number 1
_symmetry_space_group_name_Hall 'P 1'
_cell_length_a 3.950
_cell_length_b 3.950
_cell_length_c 3.902
_cell_angle_alpha 90.00
_cell_angle_beta 90.00
_cell_angle_gamma 90.00
loop_
_atom_site_label
_atom_site_type_symbol
_atom_site_fract_x
_atom_site_fract_y
_atom_site_fract_z
Hf1 Hf 0.000 0.000 0.000
S1 S 0.000 0.500 0.500
S2 S 0.500 0.000 0.500
N1 N 0.500 0.500 0.000
N2 N 0.500 0.500 0.500